Compound: Ag2AsOs
Source: Alexandria
Functional: GGA-PBE
Structure: relaxed

Values from the calculation:
Its space group is R3m, No. 160.

a = 9.2273 Å, b = 9.2273 Å, c = 9.2273 Å
α = 18.53°, β = 18.53°, γ = 18.53°
Atoms (fractional coordinates):
Ag 0.0000 0.0000 0.0000
Ag 0.2472 0.2472 0.2472
As 0.4846 0.4846 0.4846
Os 0.7527 0.7527 0.7527



Compound: Ag2AsOs
Source: Alexandria
Functional: GGA-PBE
Structure: relaxed

Values from the calculation:
Its space group is F222, No. 22.

a = 4.5505 Å, b = 4.5365 Å, c = 4.5242 Å
α = 60.29°, β = 59.99°, γ = 59.72°
Atoms (fractional coordinates):
Ag 0.0000 0.0000 0.0000
Ag 0.2500 0.2500 0.2500
As 0.5000 0.5000 0.5000
Os 0.7500 0.7500 0.7500



Compound: Ag2AsOs
Source: Alexandria
Functional: GGA-PBE
Structure: relaxed

Values from the calculation:
Its space group is Cm, No. 8.

a = 4.7101 Å, b = 4.7101 Å, c = 5.9194 Å
α = 115.98°, β = 115.98°, γ = 37.92°
Atoms (fractional coordinates):
Ag 0.0000 0.0000 0.0000
Ag 0.2104 0.2104 0.7938
As 0.4502 0.4502 0.3946
Os 0.7460 0.7460 0.4105



Compound: Ag2AsOs
Source: Alexandria
Functional: GGA-PBE
Structure: relaxed

Values from the calculation:
Its space group is R-3m, No. 166.

a = 9.6039 Å, b = 9.6039 Å, c = 9.6039 Å
α = 17.19°, β = 17.19°, γ = 17.19°
Atoms (fractional coordinates):
Ag 0.2493 0.2493 0.2493
Ag 0.7507 0.7507 0.7507
As 0.0000 0.0000 0.0000
Os 0.5000 0.5000 0.5000



no.,DOS(E_F) (states/eV per atom),calculated formation energy (eV/atom)
1,0.697,0.28
2,0.733,0.64
3,0.532,0.44
4,0.972,0.57